w | Entry from Alexandria via LeMat-Bulk: a crystal of YCu2Ni relaxed with PBEsol (meta-GGA SCAN).

a = 4.881 Å, b = 4.881 Å, c = 4.881 Å
α = 134.34°, β = 134.34°, γ = 66.56°
Positions (direct):
Y  0.000  0.000  0.000
Cu  0.250  0.750  0.500
Cu  0.750  0.250  0.500
Ni  0.500  0.500  0.000

Summary:
**Size of the total moment**: 0.0 μB/f.u.
**SG**: I4/mmm, No. 139


x | Entry from Alexandria via LeMat-Bulk: a crystal of YCu2Ni relaxed with PBEsol (meta-GGA SCAN).

a = 4.760 Å, b = 4.760 Å, c = 4.760 Å
α = 131.84°, β = 131.65°, γ = 70.63°
Positions (direct):
Y  0.000  0.000  0.000
Cu  0.250  0.750  0.500
Cu  0.500  0.500  0.000
Ni  0.750  0.250  0.500

Summary:
**Size of the total moment**: 0.0 μB/f.u.
**SG**: Imm2, No. 44


Of them, x has the lowest stability.


w | Entry from Alexandria via LeMat-Bulk: a crystal of Rb relaxed with PBEsol (meta-GGA SCAN).

a = 4.782 Å, b = 4.782 Å, c = 4.782 Å
α = 109.41°, β = 109.41°, γ = 109.41°
Positions (direct):
Rb  0.000  0.000  0.000

Summary:
**Size of the total moment**: 0.0 μB/f.u.
**SG**: R-3m, No. 166


x | Entry from Alexandria via LeMat-Bulk: a crystal of Rb relaxed with PBEsol (meta-GGA SCAN).

a = 9.487 Å, b = 8.928 Å, c = 4.758 Å
α = 81.64°, β = 68.61°, γ = 29.75°
Positions (direct):
Rb  0.131  0.131  0.869
Rb  0.869  0.869  0.131

Summary:
**Size of the total moment**: 0.0 μB/f.u.
**SG**: Fmmm, No. 69


Of them, x has the lowest stability.


w | Entry from Alexandria via LeMat-Bulk: a crystal of Co3SbMo relaxed with PBEsol (meta-GGA SCAN).

a = 4.449 Å, b = 4.449 Å, c = 4.449 Å
α = 90.00°, β = 90.00°, γ = 90.00°
Positions (direct):
Co  0.000  0.000  0.500
Co  0.000  0.500  0.000
Co  0.500  0.000  0.000
Sb  0.000  0.000  0.000
Mo  0.500  0.500  0.500

Summary:
**Size of the total moment**: 6.6 μB/f.u.
**SG**: Pm-3m, No. 221


x | Entry from Alexandria via LeMat-Bulk: a crystal of Co3SbMo relaxed with PBEsol (meta-GGA SCAN).

a = 4.367 Å, b = 4.367 Å, c = 4.367 Å
α = 90.00°, β = 90.00°, γ = 90.00°
Positions (direct):
Co  0.000  0.000  0.500
Co  0.000  0.500  0.000
Co  0.500  0.000  0.000
Sb  0.500  0.500  0.500
Mo  0.000  0.000  0.000

Summary:
**Size of the total moment**: 0.0 μB/f.u.
**SG**: Pm-3m, No. 221


Of them, w has the lowest stability.


w | Entry from Alexandria via LeMat-Bulk: a crystal of Sr2TlAu relaxed with PBEsol (meta-GGA SCAN).

a = 4.467 Å, b = 4.467 Å, c = 6.647 Å
α = 90.00°, β = 90.00°, γ = 90.00°
Positions (direct):
Sr  0.000  0.000  0.000
Sr  0.500  0.500  0.403
Tl  0.000  0.000  0.524
Au  0.500  0.500  0.912

Summary:
**Size of the total moment**: 0.0 μB/f.u.
**SG**: P4mm, No. 99


x | Entry from Alexandria via LeMat-Bulk: a crystal of Sr2TlAu relaxed with PBEsol (meta-GGA SCAN).

a = 5.527 Å, b = 5.527 Å, c = 3.821 Å
α = 90.00°, β = 90.00°, γ = 90.00°
Positions (direct):
Sr  0.000  0.500  0.000
Sr  0.500  0.000  0.000
Tl  0.000  0.000  0.500
Au  0.500  0.500  0.500

Summary:
**Size of the total moment**: 0.0 μB/f.u.
**SG**: P4/mmm, No. 123


Of them, w has the lowest stability.